Entry w
# As2WCBr, optimized geometry, DFT PBE
# **M_tot**: 2.048 μB/f.u.
# **Density of states at the Fermi level**: 5.78 states/eV per cell
# **ρ**: 5.8 g cm⁻³
data_As2WCBr
_chemical_formula_sum 'As2 W1 C1 Br1'
_symmetry_space_group_name_H-M 'P 4/m m m'
_symmetry_Int_Tables_number 123
_symmetry_space_group_name_Hall '-P 4 2'
_cell_length_a 4.854
_cell_length_b 4.854
_cell_length_c 5.204
_cell_angle_alpha 90.00
_cell_angle_beta 90.00
_cell_angle_gamma 90.00
loop_
_atom_site_label
_atom_site_type_symbol
_atom_site_fract_x
_atom_site_fract_y
_atom_site_fract_z
_atom_site_occupancy
As1 As 0.000 0.500 0.000 1
W1 W 0.000 0.000 0.000 1
C1 C 0.500 0.500 0.500 1
Br1 Br 0.000 0.000 0.500 1

---

Entry x
# As2WCBr, optimized geometry, DFT PBE
# **M_tot**: 1.630 μB/f.u.
# **Density of states at the Fermi level**: 2.28 states/eV per cell
# **ρ**: 8.7 g cm⁻³
data_As2WCBr
_chemical_formula_sum 'As2 W1 C1 Br1'
_symmetry_space_group_name_H-M 'P 4/m m m'
_symmetry_Int_Tables_number 123
_symmetry_space_group_name_Hall '-P 4 2'
_cell_length_a 4.262
_cell_length_b 4.262
_cell_length_c 4.480
_cell_angle_alpha 90.00
_cell_angle_beta 90.00
_cell_angle_gamma 90.00
loop_
_atom_site_label
_atom_site_type_symbol
_atom_site_fract_x
_atom_site_fract_y
_atom_site_fract_z
_atom_site_occupancy
As1 As 0.000 0.500 0.000 1
W1 W 0.000 0.000 0.500 1
C1 C 0.500 0.500 0.000 1
Br1 Br 0.500 0.500 0.500 1

---

It is entry x that is the most stable of them.

---

Entry w
# YAsCBr2, optimized geometry, DFT PBE
# **M_tot**: 0.000 μB/f.u.
# **Density of states at the Fermi level**: 2.35 states/eV per cell
# **ρ**: 5.5 g cm⁻³
data_YAsCBr2
_chemical_formula_sum 'Y1 As1 C1 Br2'
_symmetry_space_group_name_H-M 'P 4/m m m'
_symmetry_Int_Tables_number 123
_symmetry_space_group_name_Hall '-P 4 2'
_cell_length_a 4.651
_cell_length_b 4.651
_cell_length_c 4.688
_cell_angle_alpha 90.00
_cell_angle_beta 90.00
_cell_angle_gamma 90.00
loop_
_atom_site_label
_atom_site_type_symbol
_atom_site_fract_x
_atom_site_fract_y
_atom_site_fract_z
_atom_site_occupancy
Y1 Y 0.000 0.000 0.000 1
As1 As 0.500 0.500 0.000 1
C1 C 0.500 0.500 0.500 1
Br1 Br 0.000 0.500 0.500 1

---

Entry x
# YAsCBr2, optimized geometry, DFT PBE
# **M_tot**: 3.680 μB/f.u.
# **Density of states at the Fermi level**: 6.24 states/eV per cell
# **ρ**: 3.1 g cm⁻³
data_YAsCBr2
_chemical_formula_sum 'Y1 As1 C1 Br2'
_symmetry_space_group_name_H-M 'P 4/m m m'
_symmetry_Int_Tables_number 123
_symmetry_space_group_name_Hall '-P 4 2'
_cell_length_a 5.521
_cell_length_b 5.521
_cell_length_c 5.906
_cell_angle_alpha 90.00
_cell_angle_beta 90.00
_cell_angle_gamma 90.00
loop_
_atom_site_label
_atom_site_type_symbol
_atom_site_fract_x
_atom_site_fract_y
_atom_site_fract_z
_atom_site_occupancy
Y1 Y 0.000 0.000 0.000 1
As1 As 0.000 0.000 0.500 1
C1 C 0.500 0.500 0.500 1
Br1 Br 0.000 0.500 0.000 1

---

It is entry w that is the most stable of them.

---

Entry w
# ZnAsCBr2, optimized geometry, DFT PBE
# **M_tot**: 0.648 μB/f.u.
# **Density of states at the Fermi level**: 3.72 states/eV per cell
# **ρ**: 4.0 g cm⁻³
data_ZnAsCBr2
_chemical_formula_sum 'Zn1 As1 C1 Br2'
_symmetry_space_group_name_H-M 'P 4/m m m'
_symmetry_Int_Tables_number 123
_symmetry_space_group_name_Hall '-P 4 2'
_cell_length_a 5.118
_cell_length_b 5.118
_cell_length_c 5.002
_cell_angle_alpha 90.00
_cell_angle_beta 90.00
_cell_angle_gamma 90.00
loop_
_atom_site_label
_atom_site_type_symbol
_atom_site_fract_x
_atom_site_fract_y
_atom_site_fract_z
_atom_site_occupancy
Zn1 Zn 0.000 0.000 0.000 1
As1 As 0.000 0.000 0.500 1
C1 C 0.500 0.500 0.500 1
Br1 Br 0.000 0.500 0.000 1

---

Entry x
# ZnAsCBr2, optimized geometry, DFT PBE
# **M_tot**: 0.000 μB/f.u.
# **Density of states at the Fermi level**: 3.48 states/eV per cell
# **ρ**: 5.1 g cm⁻³
data_ZnAsCBr2
_chemical_formula_sum 'Zn1 As1 C1 Br2'
_symmetry_space_group_name_H-M 'P 4/m m m'
_symmetry_Int_Tables_number 123
_symmetry_space_group_name_Hall '-P 4 2'
_cell_length_a 4.863
_cell_length_b 4.863
_cell_length_c 4.338
_cell_angle_alpha 90.00
_cell_angle_beta 90.00
_cell_angle_gamma 90.00
loop_
_atom_site_label
_atom_site_type_symbol
_atom_site_fract_x
_atom_site_fract_y
_atom_site_fract_z
_atom_site_occupancy
Zn1 Zn 0.000 0.000 0.000 1
As1 As 0.500 0.500 0.000 1
C1 C 0.500 0.500 0.500 1
Br1 Br 0.000 0.500 0.500 1

---

It is entry x that is the most stable of them.